CdPtIO2 after structural relaxation, computed with PBE.

The structure in CIF format:
```
data_CdPtIO2
_space_group_name_H-M_alt 'P 4/m m m'
_space_group_IT_number 123
_space_group_name_Hall '-P 4 2'
_cell_length_a 4.0325
_cell_length_b 4.0325
_cell_length_c 7.3977
_cell_angle_alpha 90.00
_cell_angle_beta 90.00
_cell_angle_gamma 90.00
loop_
_atom_site_label
_atom_site_type_symbol
_atom_site_fract_x
_atom_site_fract_y
_atom_site_fract_z
Cd1 Cd 0.0000 0.0000 0.0000
Pt1 Pt 0.5000 0.5000 0.5000
I1 I 0.0000 0.0000 0.5000
O1 O 0.0000 0.5000 0.0000
```

Summary:
Raw formation energy   0.47 eV per atom
Magnetic moment   0.30 μB/atom
D(E_F)   7.37 states/eV per cell
Polymorph energy (0 for the lowest one)   0.389 eV per atom

=====

CdPtI2O after structural relaxation, computed with PBE.

The structure in CIF format:
```
data_CdPtI2O
_space_group_name_H-M_alt 'P 4/m m m'
_space_group_IT_number 123
_space_group_name_Hall '-P 4 2'
_cell_length_a 5.7496
_cell_length_b 5.7496
_cell_length_c 3.8566
_cell_angle_alpha 90.00
_cell_angle_beta 90.00
_cell_angle_gamma 90.00
loop_
_atom_site_label
_atom_site_type_symbol
_atom_site_fract_x
_atom_site_fract_y
_atom_site_fract_z
Cd1 Cd 0.0000 0.0000 0.0000
Pt1 Pt 0.5000 0.5000 0.5000
I1 I 0.0000 0.5000 0.5000
O1 O 0.5000 0.5000 0.0000
```

Summary:
Raw formation energy   -0.04 eV per atom
Magnetic moment   0.11 μB/atom
D(E_F)   3.56 states/eV per cell
Polymorph energy (0 for the lowest one)   0.000 eV per atom

=====

CdPtIO6 after structural relaxation, computed with PBE.

The structure in CIF format:
```
data_CdPtIO6
_space_group_name_H-M_alt 'P -3 1 c'
_space_group_IT_number 163
_space_group_name_Hall '-P 3 2c'
_cell_length_a 5.3644
_cell_length_b 5.3644
_cell_length_c 9.7785
_cell_angle_alpha 90.00
_cell_angle_beta 90.00
_cell_angle_gamma 120.00
loop_
_atom_site_label
_atom_site_type_symbol
_atom_site_fract_x
_atom_site_fract_y
_atom_site_fract_z
Cd1 Cd 0.0000 0.0000 0.0000
Pt1 Pt 0.3333 0.6667 0.2500
I1 I 0.3333 0.6667 0.7500
O1 O 0.0021 0.3626 0.1378
```

Summary:
Raw formation energy   -0.49 eV per atom
Magnetic moment   0.00 μB/atom
D(E_F)   6.97 states/eV per cell